Entry A
Density functional theory data (PBEsol) for a relaxed structure of OsPt2Rh.

Output
Volume ... 57.1 Å³/cell

extended XYZ file:
```
4
Lattice="2.7247 0.0000 0.0000 0.0000 3.8678 0.0000 0.0000 0.0000 5.4158" Properties=species:S:1:pos:R:3 pbc="T T T"
Rh 1.3624 1.9339 0.0000
Os 1.3624 1.9339 2.7079
Pt 0.0000 0.0000 4.0390
Pt 0.0000 0.0000 1.3768
```

***

Entry B
Density functional theory data (PBEsol) for a relaxed structure of OsPt2Rh.

Output
Volume ... 57.1 Å³/cell

extended XYZ file:
```
4
Lattice="2.7178 0.0000 0.0000 0.0000 3.8501 0.0000 0.0000 0.0000 5.4585" Properties=species:S:1:pos:R:3 pbc="T T T"
Rh 0.0000 0.0000 2.7915
Os 1.3589 1.9250 4.0549
Pt 0.0000 0.0000 5.4173
Pt 1.3589 1.9250 1.3826
```

***

Entry C
Density functional theory data (PBEsol) for a relaxed structure of OsPt2Rh.

Output
Volume ... 57.3 Å³/cell

extended XYZ file:
```
4
Lattice="2.7215 0.0000 0.0000 1.3607 2.3569 0.0000 1.3607 0.7856 8.9407" Properties=species:S:1:pos:R:3 pbc="T T T"
Rh 2.7215 1.5712 4.3859
Os 1.3607 0.7856 2.2972
Pt 4.0822 2.3569 0.0660
Pt 4.0822 2.3569 6.6620
```

***

Entry D
Density functional theory data (PBEsol) for a relaxed structure of OsPt2Rh.

Output
Volume ... 57.0 Å³/cell

extended XYZ file:
```
4
Lattice="-3.0102 -2.2808 0.6605 2.3596 -2.7541 1.2436 0.0570 3.9159 2.6541" Properties=species:S:1:pos:R:3 pbc="T T T"
Rh -0.3253 -2.5175 0.9520
Os 1.0456 -0.6779 2.4249
Pt 0.0000 0.0000 0.0000
Pt -1.6393 -0.4412 2.1333
```

***

Stability check: which of them is most stable? entry C.

***

Entry A
Density functional theory data (PBEsol) for a relaxed structure of OsPt2Rh.

Output
Volume ... 57.1 Å³/cell

extended XYZ file:
```
4
Lattice="2.7199 0.0000 0.0000 -1.3600 4.4991 0.0010 0.0000 -0.8106 4.6674" Properties=species:S:1:pos:R:3 pbc="T T T"
Rh 0.0000 -0.4053 2.3337
Os 1.3600 0.0000 0.0000
Pt 1.3600 1.6595 3.5219
Pt 0.0000 2.0289 1.1466
```

***

Entry B
Density functional theory data (PBEsol) for a relaxed structure of OsPt2Rh.

Output
Volume ... 57.1 Å³/cell

extended XYZ file:
```
4
Lattice="2.7161 0.0000 0.0000 -1.3581 4.5118 -0.0033 0.0000 -0.7974 4.6621" Properties=species:S:1:pos:R:3 pbc="T T T"
Rh 0.0000 4.0824 2.2776
Os 1.3581 2.0713 1.1937
Pt 0.0000 0.0253 0.0289
Pt 0.0000 1.6486 3.4865
```

***

Stability check: which of them is most stable? entry B.

***

Entry A
Density functional theory data (PBEsol) for a relaxed structure of OsPt2Rh.

Output
Volume ... 57.2 Å³/cell

extended XYZ file:
```
4
Lattice="2.7338 0.0000 0.0000 1.3669 2.3676 0.0000 1.3669 0.7892 8.8400" Properties=species:S:1:pos:R:3 pbc="T T T"
Rh 2.7338 1.5784 4.4200
Os 0.0000 0.0000 0.0000
Pt 1.3669 0.7892 2.1925
Pt 4.1007 2.3676 6.6474
```

***

Entry B
Density functional theory data (PBEsol) for a relaxed structure of OsPt2Rh.

Output
Volume ... 57.2 Å³/cell

extended XYZ file:
```
4
Lattice="3.8566 0.0000 0.0000 0.0000 3.8505 0.0000 0.0000 0.0000 3.8505" Properties=species:S:1:pos:R:3 pbc="T T T"
Os 1.9283 0.0000 0.0000
Pt 0.0000 0.0000 1.9252
Pt 0.0000 1.9252 0.0000
Rh 1.9283 1.9252 1.9252
```

***

Stability check: which of them is most stable? entry A.

***

Entry A
Density functional theory data (PBEsol) for a relaxed structure of OsPtRh2.

Output
Volume ... 55.7 Å³/cell

extended XYZ file:
```
4
Lattice="-2.5624 0.8011 0.2414 -0.3941 -1.8417 1.9284 2.1001 5.1156 5.3148" Properties=species:S:1:pos:R:3 pbc="T T T"
Os -1.4783 -0.5203 1.0849
Rh 1.5970 3.8901 4.0416
Rh 0.5031 1.2255 1.2732
Pt -0.4282 2.0375 3.7423
```

***

Entry B
Density functional theory data (PBEsol) for a relaxed structure of OsPtRh2.

Output
Volume ... 55.6 Å³/cell

extended XYZ file:
```
4
Lattice="2.6899 0.0000 0.0000 -1.3450 4.4863 -0.0001 0.0000 -0.7977 4.6100" Properties=species:S:1:pos:R:3 pbc="T T T"
Rh 0.0000 0.0084 0.0108
Rh 1.3450 2.0593 1.1830
Os 0.0000 4.0768 2.2736
Pt 0.0000 1.6316 3.4476
```

***

Stability check: which of them is most stable? entry A.

***

Entry A
Density functional theory data (PBEsol) for a relaxed structure of OsPtRh2.

Output
Volume ... 55.8 Å³/cell

extended XYZ file:
```
4
Lattice="-0.0711 2.4934 1.0337 -2.3474 1.0581 0.8126 0.4990 -2.1322 8.7039" Properties=species:S:1:pos:R:3 pbc="T T T"
Os -0.9513 0.6881 5.3278
Rh 0.4928 -2.1163 8.6653
Rh -1.4441 1.0758 7.8851
Pt -0.4777 0.3493 2.6511
```

***

Entry B
Density functional theory data (PBEsol) for a relaxed structure of OsPtRh2.

Output
Volume ... 55.6 Å³/cell

extended XYZ file:
```
4
Lattice="3.8092 0.0000 0.0000 0.0000 3.8092 0.0000 -1.9046 -1.9046 3.8291" Properties=species:S:1:pos:R:3 pbc="T T T"
Rh 1.9046 0.0000 1.9146
Rh 0.0000 1.9046 1.9146
Os 1.9046 1.9046 0.0000
Pt 0.0000 0.0000 0.0000
```

***

Stability check: which of them is most stable? entry B.

***

Entry A
Density functional theory data (PBEsol) for a relaxed structure of Sc2OsPt.

Output
Volume ... 65.8 Å³/cell

extended XYZ file:
```
4
Lattice="4.5316 0.0000 0.0000 2.2658 3.9245 0.0000 2.2658 1.3082 3.7001" Properties=species:S:1:pos:R:3 pbc="T T T"
Sc 2.2658 1.3082 0.9250
Sc 6.7975 3.9245 2.7751
Os 0.0000 0.0000 0.0000
Pt 4.5316 2.6163 1.8500
```

***

Entry B
Density functional theory data (PBEsol) for a relaxed structure of Sc2OsPt.

Output
Volume ... 66.1 Å³/cell

extended XYZ file:
```
4
Lattice="3.2388 0.0000 0.0000 0.0000 3.2388 0.0000 0.0000 0.0000 6.2998" Properties=species:S:1:pos:R:3 pbc="T T T"
Sc 0.0000 0.0000 4.7779
Sc 0.0000 0.0000 1.5219
Os 1.6194 1.6194 0.0000
Pt 1.6194 1.6194 3.1499
```

***

Stability check: which of them is most stable? entry B.

***

Entry A
Density functional theory data (PBEsol) for a relaxed structure of TaOsPt2.

Output
Volume ... 60.1 Å³/cell

extended XYZ file:
```
4
Lattice="-3.7002 1.0071 0.4204 -0.2043 -2.0990 3.2303 1.1223 3.2201 2.1634" Properties=species:S:1:pos:R:3 pbc="T T T"
Os 0.5611 1.6101 1.0817
Pt -0.1022 -1.0495 1.6151
Pt -1.8501 0.5036 0.2102
Ta -1.3911 1.0641 2.9070
```

***

Entry B
Density functional theory data (PBEsol) for a relaxed structure of TaOsPt2.

Output
Volume ... 60.7 Å³/cell

extended XYZ file:
```
4
Lattice="-1.9584 1.3604 1.4160 -1.9396 -1.4127 1.3905 4.0289 -0.0496 8.3355" Properties=species:S:1:pos:R:3 pbc="T T T"
Os 0.0000 0.0000 0.0000
Pt 0.0123 -0.0254 2.7572
Pt 0.1185 -0.0766 8.3849
Ta 0.0654 -0.0510 5.5710
```

***

Stability check: which of them is most stable? entry A.

***

Entry A
Density functional theory data (PBEsol) for a relaxed structure of TcOsPt2.

Output
Volume ... 57.9 Å³/cell

extended XYZ file:
```
4
Lattice="-0.6386 2.2429 1.3999 -2.2442 1.4025 -0.6284 -5.7151 -3.7788 6.0900" Properties=species:S:1:pos:R:3 pbc="T T T"
Os -2.2014 -0.0879 1.7790
Tc -4.2595 -0.0253 3.3823
Pt -2.9083 3.6186 0.8027
Pt -6.4105 -0.0602 5.0996
```

***

Entry B
Density functional theory data (PBEsol) for a relaxed structure of TcOsPt2.

Output
Volume ... 59.0 Å³/cell

extended XYZ file:
```
4
Lattice="4.3691 0.0000 0.0000 2.1845 3.7837 0.0000 2.1845 1.2612 3.5673" Properties=species:S:1:pos:R:3 pbc="T T T"
Os 0.0000 0.0000 0.0000
Pt 2.1845 1.2612 0.8918
Pt 6.5536 3.7837 2.6755
Tc 4.3691 2.5225 1.7837
```

***

Stability check: which of them is most stable? entry A.